No. 1
The following is a GGA-PBE calculation of a relaxed structure of SiAgPt, from Alexandria.

Results
ΔE to the lowest computed polymorph: 49 meV/atom
density of states at the Fermi level: 1.9 states/eV per cell
formation energy without anion corrections: -180 meV per atom

abc: 3.172 3.172 9.613
angles: 90.00 90.00 90.00
Space group I4mm (No. 107)
Asymmetric unit:
Si: 0.000 0.000 0.000
Ag: 0.000 0.000 0.314
Pt: 0.000 0.000 0.613



No. 2
The following is a GGA-PBE calculation of a relaxed structure of SiAg3Pt, from Alexandria.

Results
ΔE to the lowest computed polymorph: 378 meV/atom
density of states at the Fermi level: 2.2 states/eV per cell
formation energy without anion corrections: 1078 meV per atom

abc: 5.063 5.063 5.063
angles: 90.00 90.00 90.00
Space group Pm-3m (No. 221)
Asymmetric unit:
Si: 0.000 0.000 0.000
Ag: 0.000 0.500 0.500
Pt: 0.500 0.500 0.500



No. 3
The following is a GGA-PBE calculation of a relaxed structure of SiAg2Pt2, from Alexandria.

Results
density of states at the Fermi level: 4.7 states/eV per cell
formation energy without anion corrections: -216 meV per atom

abc: 6.167 6.167 4.593
angles: 90.00 90.00 90.00
Space group P4/mbm (No. 127)
Asymmetric unit:
Si: 0.000 0.000 0.000
Ag: 0.162 0.338 0.500
Pt: 0.152 0.652 0.000



No. 4
The following is a GGA-PBE calculation of a relaxed structure of SiAgPt, from Alexandria.

Results
ΔE to the lowest computed polymorph: 0 meV/atom
density of states at the Fermi level: 1.6 states/eV per cell
formation energy without anion corrections: -229 meV per atom

abc: 4.1598 4.1598 3.2790
angles: 90.00 90.00 120.00
Space group P-6m2 (No. 187)
Asymmetric unit:
Si: 0.0000 0.0000 0.0000
Ag: 0.6667 0.3333 0.5000
Pt: 0.3333 0.6667 0.0000



No. 5
The following is a GGA-PBE calculation of a relaxed structure of SiAg3Pt, from Alexandria.

Results
ΔE to the lowest computed polymorph: 0 meV/atom
density of states at the Fermi level: 4.0 states/eV per cell
formation energy without anion corrections: 700 meV per atom

abc: 4.651 4.651 4.651
angles: 90.00 90.00 90.00
Space group Pm-3m (No. 221)
Asymmetric unit:
Si: 0.000 0.000 0.000
Ag: 0.000 0.000 0.500
Pt: 0.500 0.500 0.500



No. 6
The following is a GGA-PBE calculation of a relaxed structure of SiAgPt, from Alexandria.

Results
ΔE to the lowest computed polymorph: 121 meV/atom
density of states at the Fermi level: 1.1 states/eV per cell
formation energy without anion corrections: -108 meV per atom

abc: 2.9904 2.9904 6.2865
angles: 90.00 90.00 120.00
Space group P3m1 (No. 156)
Asymmetric unit:
Si: 0.0000 0.0000 0.0000
Ag: 0.6667 0.3333 0.3419
Pt: 0.3333 0.6667 0.7256



No. 7
The following is a GGA-PBE calculation of a relaxed structure of Si4AgPt, from Alexandria.

Results
density of states at the Fermi level: 15.7 states/eV per cell
formation energy without anion corrections: 448 meV per atom

abc: 7.242 7.242 7.242
angles: 90.00 90.00 90.00
Space group F-43m (No. 216)
Asymmetric unit:
Si: 0.125 0.125 0.125
Ag: 0.250 0.250 0.750
Pt: 0.000 0.000 0.500



No. 8
The following is a GGA-PBE calculation of a relaxed structure of Sm2Si3AgPt4, from Alexandria.

Results
density of states at the Fermi level: 5.5 states/eV per cell
formation energy without anion corrections: -924 meV per atom

abc: 4.274 4.274 10.174
angles: 90.00 90.00 90.00
Space group P-4m2 (No. 115)
Asymmetric unit:
Sm: 0.000 0.500 0.247
Si: 0.000 0.000 0.000
Si: 0.000 0.500 0.623
Ag: 0.500 0.500 0.000
Pt: 0.000 0.000 0.500
Pt: 0.000 0.500 0.851
Pt: 0.500 0.500 0.500



No. 9
The following is a GGA-PBE calculation of a relaxed structure of Sm2Si3AgPt12, from Alexandria.

Results
density of states at the Fermi level: 20.8 states/eV per cell
formation energy without anion corrections: -410 meV per atom

abc: 8.3495 8.3495 17.5651
angles: 90.00 90.00 120.00
Space group R-3m (No. 166, hexagonal axes)
Asymmetric unit:
Sm: 0.0000 0.0000 0.1076
Si: 0.0000 0.5000 0.0000
Ag: 0.0000 0.0000 0.5000
Pt: 0.0164 0.5082 0.8687
Pt: 0.0296 0.5148 0.3681



No. 10
The following is a GGA-PBE calculation of a relaxed structure of Si2AgSnPt, from Alexandria.

Results
density of states at the Fermi level: 1.6 states/eV per cell
formation energy without anion corrections: 285 meV per atom

abc: 4.618 4.618 5.284
angles: 90.00 90.00 90.00
Space group P4/mmm (No. 123)
Asymmetric unit:
Si: 0.000 0.500 0.000
Ag: 0.000 0.000 0.500
Sn: 0.500 0.500 0.500
Pt: 0.000 0.000 0.000



No. 11
The following is a GGA-PBE calculation of a relaxed structure of Sr2Si3AgPt4, from Alexandria.

Results
density of states at the Fermi level: 4.6 states/eV per cell
formation energy without anion corrections: -781 meV per atom

abc: 4.397 4.397 10.096
angles: 90.00 90.00 90.00
Space group P-4m2 (No. 115)
Asymmetric unit:
Sr: 0.000 0.500 0.247
Si: 0.000 0.000 0.000
Si: 0.000 0.500 0.616
Ag: 0.500 0.500 0.000
Pt: 0.000 0.000 0.500
Pt: 0.000 0.500 0.850
Pt: 0.500 0.500 0.500



No. 12
The following is a GGA-PBE calculation of a relaxed structure of Sr2Si3AgPt12, from Alexandria.

Results
density of states at the Fermi level: 19.8 states/eV per cell
formation energy without anion corrections: -293 meV per atom

abc: 8.3396 8.3396 18.2167
angles: 90.00 90.00 120.00
Space group R-3m (No. 166, hexagonal axes)
Asymmetric unit:
Sr: 0.0000 0.0000 0.1069
Si: 0.0000 0.5000 0.0000
Ag: 0.0000 0.0000 0.5000
Pt: 0.0106 0.5053 0.8734
Pt: 0.0371 0.5185 0.3677